No. 1
Entry from the Alexandria database: a relaxed structure of LaPrYH (PBE-GGA).

Cell lengths 4.5332, 4.5332, 10.3527 Å; angles 90.00, 90.00, 90.00 degrees
Closest atoms and distances in Å follow each position.
Fractional coordinates of all 8 atoms:
1 La 0.2500 0.7500 0.0000  4 La 3.21, 4 Pr 3.46
2 La 0.7500 0.2500 0.0000  4 La 3.21, 4 Pr 3.46
3 Pr 0.2500 0.2500 0.2523  5 Y 3.39-3.65, 4 H 3.42, 4 La 3.46
4 Pr 0.7500 0.7500 0.7477  5 Y 3.39-3.65, 4 H 3.42, 4 La 3.46
5 Y 0.2500 0.2500 0.5797  4 H 2.41
6 Y 0.7500 0.7500 0.4203  4 H 2.41
7 H 0.2500 0.7500 0.5000  4 Y 2.41
8 H 0.7500 0.2500 0.5000  4 Y 2.41

The value obtained for the electronic total energy is -4.742 eV per atom. As for the density of states at the Fermi level: 4.5 states/eV/f.u.



No. 2
Entry from the Alexandria database: a relaxed structure of La2PrYH (PBE-GGA).

Cell lengths 5.2363, 5.2363, 5.1422 Å; angles 90.00, 90.00, 90.00 degrees
Closest atoms and distances in Å follow each position.
Fractional coordinates of all 5 atoms:
1 La 0.0000 0.5000 0.0000  2 H 2.62
2 La 0.5000 0.0000 0.0000  2 H 2.62
3 Pr 0.0000 0.0000 0.5000  8 La 3.67, 4 Y 3.70
4 Y 0.5000 0.5000 0.5000  2 H 2.57
5 H 0.5000 0.5000 0.0000  2 Y 2.57, 4 La 2.62

The value obtained for the electronic total energy is -5.070 eV per atom. As for the density of states at the Fermi level: 3.9 states/eV/f.u.



No. 3
Entry from the Alexandria database: a relaxed structure of LaHPt (PBE-GGA).

Cell lengths 3.7122, 3.7122, 3.7915 Å; angles 90.00, 90.00, 90.00 degrees
Closest atoms and distances in Å follow each position.
Fractional coordinates of all 3 atoms:
1 La 0.0000 0.0000 0.0000  4 H 2.62
2 H 0.5000 0.5000 0.0000  2 Pt 1.90
3 Pt 0.5000 0.5000 0.5000  2 H 1.90

The energy above the most stable polymorph in this dataset is 94.9 meV/atom. The value obtained for the electronic total energy is -5.575 eV per atom. As for the density of states at the Fermi level: 1.2 states/eV/f.u.



Repeat the first record exactly.
Entry from the Alexandria database: a relaxed structure of LaPrYH (PBE-GGA).

Cell lengths 4.5332, 4.5332, 10.3527 Å; angles 90.00, 90.00, 90.00 degrees
Closest atoms and distances in Å follow each position.
Fractional coordinates of all 8 atoms:
1 La 0.2500 0.7500 0.0000  4 La 3.21, 4 Pr 3.46
2 La 0.7500 0.2500 0.0000  4 La 3.21, 4 Pr 3.46
3 Pr 0.2500 0.2500 0.2523  5 Y 3.39-3.65, 4 H 3.42, 4 La 3.46
4 Pr 0.7500 0.7500 0.7477  5 Y 3.39-3.65, 4 H 3.42, 4 La 3.46
5 Y 0.2500 0.2500 0.5797  4 H 2.41
6 Y 0.7500 0.7500 0.4203  4 H 2.41
7 H 0.2500 0.7500 0.5000  4 Y 2.41
8 H 0.7500 0.2500 0.5000  4 Y 2.41

The value obtained for the electronic total energy is -4.742 eV per atom. As for the density of states at the Fermi level: 4.5 states/eV/f.u.